one:
Material: YCF2
Method: DFT, PBE-GGA
State: optimized geometry

Results
Its space group is Fm-3m (225). As for the calculated volume: 49.37 Å³/cell. As for the density of states at the Fermi level: 0.000 states/eV/atom.

Unit cell a=4.118 b=4.118 c=4.118 alpha=60.00 beta=60.00 gamma=60.00
Sites, in units of the cell vectors:
Y1 0.500 0.500 0.500
C1 0.000 0.000 0.000
F1 0.250 0.250 0.250
F2 0.750 0.750 0.750



two:
Material: YCF2
Method: DFT, PBE-GGA
State: optimized geometry

Results
Its space group is R-3m (166). As for the calculated volume: 58.19 Å³/cell. As for the density of states at the Fermi level: 0.000 states/eV/atom.

Unit cell a=4.992 b=4.992 c=4.992 alpha=45.74 beta=45.74 gamma=45.74
Sites, in units of the cell vectors:
Y1 0.500 0.500 0.500
C1 0.000 0.000 0.000
F1 0.789 0.789 0.789
F2 0.211 0.211 0.211



Energies in meV per atom, measured from the most stable structure: one 80; two 0.